(1)
This record from the Alexandria database describes a relaxed structure of KCaSc. The functional is GGA-PBEsol.

Values from the calculation:
Total magnetization: 7.13 μB per cell
Calculated volume: 590 Å³/cell
Raw total energy: -2.29 eV/atom

Unit cell a=8.388 b=8.388 c=8.388 alpha=90.00 beta=90.00 gamma=90.00
Space group F-43m (No. 216)
Asymmetric unit:
K1 0.000 0.000 0.000 x4
Ca1 0.000 0.000 0.500 x4
Sc1 0.250 0.250 0.250 x4

***

(2)
This record from the Alexandria database describes a relaxed structure of ZrAl2Mo. The functional is GGA-PBEsol.

Values from the calculation:
Total magnetization: 0.00 μB per cell
ΔE to the lowest computed polymorph: 0.032 eV/atom
Calculated volume: 67 Å³/cell

Unit cell a=2.840 b=2.840 c=8.286 alpha=90.00 beta=90.00 gamma=90.00
Space group P4/mmm (No. 123)
Asymmetric unit:
Zr1 0.000 0.000 0.000 x1
Al1 0.500 0.500 0.267 x2
Mo1 0.000 0.000 0.500 x1

***

(3)
This record from the Alexandria database describes a relaxed structure of LaOsPt2. The functional is GGA-PBEsol.

Values from the calculation:
Total magnetization: 0.00 μB per cell
Calculated volume: 144 Å³/cell
Raw total energy: -7.89 eV/atom

Unit cell a=4.007 b=4.338 c=8.288 alpha=90.00 beta=90.00 gamma=90.00
Space group Immm (No. 71)
Asymmetric unit:
La1 0.000 0.000 0.000 x2
Os1 0.000 0.000 0.500 x2
Pt1 0.000 0.500 0.238 x4

***

(4)
This record from the Alexandria database describes a relaxed structure of YWN3. The functional is GGA-PBEsol.

Values from the calculation:
Formation energy from raw total energies: -1122 meV per atom
Total magnetization: 0.00 μB per cell
Calculated volume: 127 Å³/cell

Unit cell a=3.592 b=5.897 c=5.980 alpha=90.00 beta=90.00 gamma=90.00
Space group Pmc2_1 (No. 26)
Asymmetric unit:
Y1 0.000 0.155 0.000 x2
W1 0.500 0.307 0.530 x2
N1 0.000 0.229 0.624 x2
N2 0.500 0.099 0.294 x2
N3 0.500 0.415 0.898 x2

***

(5)
This record from the Alexandria database describes a relaxed structure of ReAgIr2. The functional is GGA-PBEsol.

Values from the calculation:
Total magnetization: 0.00 μB per cell
ΔE to the lowest computed polymorph: 0.271 eV/atom
Calculated volume: 116 Å³/cell

Unit cell a=3.906 b=3.906 c=7.625 alpha=90.00 beta=90.00 gamma=90.00
Space group I4/mmm (No. 139)
Asymmetric unit:
Re1 0.000 0.000 0.000 x2
Ag1 0.000 0.000 0.500 x2
Ir1 0.000 0.500 0.250 x4

***

(6)
This record from the Alexandria database describes a relaxed structure of Ni2OsW. The functional is GGA-PBEsol.

Values from the calculation:
Total magnetization: 0.00 μB per cell
ΔE to the lowest computed polymorph: 0.032 eV/atom
Calculated volume: 50 Å³/cell

Unit cell a=3.659 b=3.659 c=3.759 alpha=90.00 beta=90.00 gamma=90.00
Space group P4/mmm (No. 123)
Asymmetric unit:
Ni1 0.000 0.500 0.000 x2
Os1 0.000 0.000 0.500 x1
W1 0.500 0.500 0.500 x1

***

(7)
This record from the Alexandria database describes a relaxed structure of CoAs2RhSe. The functional is GGA-PBEsol.

Values from the calculation:
Formation energy from raw total energies: 907 meV per atom
Total magnetization: 2.02 μB per cell
Calculated volume: 107 Å³/cell

Unit cell a=4.576 b=4.576 c=5.094 alpha=90.00 beta=90.00 gamma=90.00
Space group P4/mmm (No. 123)
Asymmetric unit:
Co1 0.000 0.000 0.000 x1
As1 0.000 0.500 0.500 x2
Rh1 0.500 0.500 0.500 x1
Se1 0.500 0.500 0.000 x1

***

(8)
This record from the Alexandria database describes a relaxed structure of Sr3CaAl. The functional is GGA-PBEsol.

Values from the calculation:
Total magnetization: 2.02 μB per cell
Calculated volume: 254 Å³/cell
Raw total energy: -1.40 eV/atom

Unit cell a=6.329 b=6.329 c=6.329 alpha=90.00 beta=90.00 gamma=90.00
Space group Pm-3m (No. 221)
Asymmetric unit:
Sr1 0.000 0.000 0.500 x3
Ca1 0.000 0.000 0.000 x1
Al1 0.500 0.500 0.500 x1

***

(9)
This record from the Alexandria database describes a relaxed structure of Hg2P2O7. The functional is GGA-PBEsol.

Values from the calculation:
Formation energy from raw total energies: -1541 meV per atom
Total magnetization: 0.00 μB per cell
Calculated volume: 296 Å³/cell

Unit cell a=6.730 b=6.910 c=7.082 alpha=78.22 beta=67.14 gamma=80.18
Space group P-1 (No. 2)
Asymmetric unit:
Hg1 0.104 0.173 0.247 x2
Hg2 0.303 0.317 0.625 x2
P1 0.212 0.659 0.264 x2
P2 0.359 0.871 0.831 x2
O1 0.062 0.833 0.365 x2
O2 0.079 0.517 0.235 x2
O3 0.224 0.763 0.765 x2
O4 0.257 0.083 0.883 x2
O5 0.372 0.557 0.371 x2
O6 0.381 0.750 0.043 x2
O7 0.406 0.125 0.324 x2

***

(10)
This record from the Alexandria database describes a relaxed structure of Rb2TiPt. The functional is GGA-PBEsol.

Values from the calculation:
Total magnetization: 12.66 μB per cell
Calculated volume: 470 Å³/cell
Raw total energy: -3.10 eV/atom

Unit cell a=7.774 b=7.774 c=7.774 alpha=90.00 beta=90.00 gamma=90.00
Space group Fm-3m (No. 225)
Asymmetric unit:
Rb1 0.250 0.250 0.250 x8
Ti1 0.000 0.000 0.000 x4
Pt1 0.000 0.000 0.500 x4

***

(11)
This record from the Alexandria database describes a relaxed structure of Ta3AsSe. The functional is GGA-PBEsol.

Values from the calculation:
Formation energy from raw total energies: 1080 meV per atom
Total magnetization: 0.00 μB per cell
Calculated volume: 102 Å³/cell

Unit cell a=4.677 b=4.677 c=4.677 alpha=90.00 beta=90.00 gamma=90.00
Space group Pm-3m (No. 221)
Asymmetric unit:
Ta1 0.000 0.000 0.500 x3
As1 0.500 0.500 0.500 x1
Se1 0.000 0.000 0.000 x1

***

(12)
This record from the Alexandria database describes a relaxed structure of Y2Au. The functional is GGA-PBEsol.

Values from the calculation:
Total magnetization: 0.03 μB per cell
Calculated volume: 311 Å³/cell
Raw total energy: -6.42 eV/atom

Unit cell a=6.959 b=6.959 c=6.420 alpha=90.00 beta=90.00 gamma=90.00
Space group I4/mcm (No. 140)
Asymmetric unit:
Y1 0.178 0.322 0.000 x8
Au1 0.000 0.000 0.250 x4

***

(13)
This record from the Alexandria database describes a relaxed structure of ScP. The functional is GGA-PBEsol.

Values from the calculation:
Total magnetization: 0.00 μB per cell
Calculated volume: 208 Å³/cell
Raw total energy: -7.44 eV/atom

Unit cell a=9.470 b=3.583 c=6.718 alpha=90.00 beta=114.16 gamma=90.00
Space group Cm (No. 8)
Asymmetric unit:
Sc1 0.000 0.000 0.000 x2
Sc2 0.159 0.500 0.718 x2
Sc3 0.334 0.500 0.353 x2
P1 0.043 0.500 0.303 x2
P2 0.276 0.000 0.029 x2
P3 0.372 0.000 0.676 x2

***

(14)
This record from the Alexandria database describes a relaxed structure of YNi2GeH. The functional is GGA-PBEsol.

Values from the calculation:
Total magnetization: 0.00 μB per cell
Calculated volume: 65 Å³/cell
Raw total energy: -5.58 eV/atom

Unit cell a=3.945 b=3.945 c=4.167 alpha=90.00 beta=90.00 gamma=90.00
Space group P4/mmm (No. 123)
Asymmetric unit:
Y1 0.000 0.000 0.000 x1
Ni1 0.000 0.500 0.500 x2
Ge1 0.500 0.500 0.000 x1
H1 0.500 0.500 0.500 x1

***

(15)
This record from the Alexandria database describes a relaxed structure of BiPtAu3. The functional is GGA-PBEsol.

Values from the calculation:
Total magnetization: 0.00 μB per cell
Calculated volume: 122 Å³/cell
Raw total energy: -3.90 eV/atom

Unit cell a=4.964 b=4.964 c=4.964 alpha=90.00 beta=90.00 gamma=90.00
Space group Pm-3m (No. 221)
Asymmetric unit:
Bi1 0.000 0.000 0.000 x1
Pt1 0.500 0.500 0.500 x1
Au1 0.000 0.500 0.500 x3

***

(16)
This record from the Alexandria database describes a relaxed structure of Pb3WCl2O5. The functional is GGA-PBEsol.

Values from the calculation:
Formation energy from raw total energies: -1571 meV per atom
Total magnetization: 0.00 μB per cell
Calculated volume: 802 Å³/cell

Unit cell a=5.604 b=12.976 c=11.035 alpha=90.00 beta=90.00 gamma=90.00
Space group Cmcm (No. 63)
Asymmetric unit:
Pb1 0.000 0.097 0.250 x4
Pb2 0.000 0.349 0.033 x8
W1 0.000 0.237 0.750 x4
Cl1 0.000 0.000 0.000 x4
Cl2 0.000 0.474 0.750 x4
O1 0.000 0.103 0.750 x4
O2 0.234 0.272 0.630 x16

***

(17)
This record from the Alexandria database describes a relaxed structure of CaZn2W. The functional is GGA-PBEsol.

Values from the calculation:
Total magnetization: 9.53 μB per cell
ΔE to the lowest computed polymorph: 0.564 eV/atom
Calculated volume: 287 Å³/cell

Unit cell a=6.597 b=6.597 c=6.597 alpha=90.00 beta=90.00 gamma=90.00
Space group F-43m (No. 216)
Asymmetric unit:
Ca1 0.000 0.000 0.000 x4
Zn1 0.000 0.000 0.500 x4
Zn2 0.250 0.250 0.250 x4
W1 0.250 0.250 0.750 x4

***

(18)
This record from the Alexandria database describes a relaxed structure of Ta3Cu. The functional is GGA-PBEsol.

Values from the calculation:
Total magnetization: 0.00 μB per cell
Calculated volume: 65 Å³/cell
Raw total energy: -10.38 eV/atom

Unit cell a=4.295 b=4.295 c=3.499 alpha=90.00 beta=90.00 gamma=90.00
Space group P4/mmm (No. 123)
Asymmetric unit:
Ta1 0.000 0.000 0.000 x1
Ta2 0.000 0.500 0.500 x2
Cu1 0.500 0.500 0.000 x1

***

(19)
This record from the Alexandria database describes a relaxed structure of Tc2MoIr. The functional is GGA-PBEsol.

Values from the calculation:
Total magnetization: 0.00 μB per cell
ΔE to the lowest computed polymorph: 0.075 eV/atom
Calculated volume: 114 Å³/cell

Unit cell a=9.044 b=2.708 c=4.741 alpha=90.00 beta=99.72 gamma=90.00
Space group Cm (No. 8)
Asymmetric unit:
Tc1 0.000 0.000 0.000 x2
Tc2 0.249 0.000 0.766 x2
Mo1 0.495 0.000 0.500 x2
Ir1 0.245 0.500 0.253 x2

***

(20)
This record from the Alexandria database describes a relaxed structure of ZrCuNi2Au. The functional is GGA-PBEsol.

Values from the calculation:
Total magnetization: 1.26 μB per cell
Calculated volume: 104 Å³/cell
Raw total energy: -4.68 eV/atom

Unit cell a=4.588 b=4.588 c=4.930 alpha=90.00 beta=90.00 gamma=90.00
Space group P4/mmm (No. 123)
Asymmetric unit:
Zr1 0.000 0.000 0.000 x1
Cu1 0.500 0.500 0.000 x1
Ni1 0.000 0.500 0.500 x2
Au1 0.000 0.000 0.500 x1

***

(21)
This record from the Alexandria database describes a relaxed structure of Mn2SiPt. The functional is GGA-PBEsol.

Values from the calculation:
Formation energy from raw total energies: -339 meV per atom
Total magnetization: 4.55 μB per cell
Calculated volume: 50 Å³/cell

Unit cell a=3.626 b=3.626 c=3.787 alpha=90.00 beta=90.00 gamma=90.00
Space group P4/mmm (No. 123)
Asymmetric unit:
Mn1 0.000 0.500 0.000 x2
Si1 0.000 0.000 0.500 x1
Pt1 0.500 0.500 0.500 x1

***

(22)
This record from the Alexandria database describes a relaxed structure of SrHf3Sn. The functional is GGA-PBEsol.

Values from the calculation:
Total magnetization: 0.00 μB per cell
Calculated volume: 128 Å³/cell
Raw total energy: -5.62 eV/atom

Unit cell a=5.045 b=5.045 c=5.045 alpha=90.00 beta=90.00 gamma=90.00
Space group Pm-3m (No. 221)
Asymmetric unit:
Sr1 0.000 0.000 0.000 x1
Hf1 0.000 0.000 0.500 x3
Sn1 0.500 0.500 0.500 x1

***

(23)
This record from the Alexandria database describes a relaxed structure of AgRh. The functional is GGA-PBEsol.

Values from the calculation:
Total magnetization: 4.44 μB per cell
Calculated volume: 242 Å³/cell
Raw total energy: -5.34 eV/atom

Unit cell a=6.229 b=6.229 c=6.229 alpha=90.00 beta=90.00 gamma=90.00
Space group Fd-3m (No. 227, origin choice 2)
Asymmetric unit:
Ag1 0.125 0.125 0.125 x8
Rh1 0.125 0.125 0.625 x8

***

(24)
This record from the Alexandria database describes a relaxed structure of BaZrBr2. The functional is GGA-PBEsol.

Values from the calculation:
Formation energy from raw total energies: -868 meV per atom
Total magnetization: 0.00 μB per cell
ΔE to the lowest computed polymorph: 0.005 eV/atom
Calculated volume: 208 Å³/cell

Unit cell a=8.796 b=3.581 c=6.754 alpha=90.00 beta=102.39 gamma=90.00
Space group C2/m (No. 12)
Asymmetric unit:
Ba1 0.000 0.000 0.000 x2
Zr1 0.000 0.500 0.500 x2
Br1 0.237 0.000 0.696 x4

***

(25)
This record from the Alexandria database describes a relaxed structure of CoMo3. The functional is GGA-PBEsol.

Values from the calculation:
Total magnetization: 0.00 μB per cell
Calculated volume: 57 Å³/cell
Raw total energy: -10.44 eV/atom

Unit cell a=2.7016 b=2.7016 c=8.9617 alpha=90.00 beta=90.00 gamma=120.00
Space group P-6m2 (No. 187)
Asymmetric unit:
Co1 0.0000 0.0000 0.0000 x1
Mo1 0.0000 0.0000 0.5000 x1
Mo2 0.6667 0.3333 0.2274 x2

***

(26)
This record from the Alexandria database describes a relaxed structure of HgIN3. The functional is GGA-PBEsol.

Values from the calculation:
Formation energy from raw total energies: 2117 meV per atom
Total magnetization: 0.00 μB per cell
Calculated volume: 66 Å³/cell

Unit cell a=4.040 b=4.040 c=4.040 alpha=90.00 beta=90.00 gamma=90.00
Space group Pm-3m (No. 221)
Asymmetric unit:
Hg1 0.000 0.000 0.000 x1
I1 0.500 0.500 0.500 x1
N1 0.000 0.500 0.500 x3

***

(27)
This record from the Alexandria database describes a relaxed structure of FeCu2OF. The functional is GGA-PBEsol.

Values from the calculation:
Formation energy from raw total energies: 468 meV per atom
Total magnetization: 3.74 μB per cell
Calculated volume: 63 Å³/cell

Unit cell a=3.631 b=3.631 c=4.785 alpha=90.00 beta=90.00 gamma=90.00
Space group P4/mmm (No. 123)
Asymmetric unit:
Fe1 0.000 0.000 0.000 x1
Cu1 0.000 0.500 0.500 x2
O1 0.500 0.500 0.000 x1
F1 0.500 0.500 0.500 x1